1.
Ca2PmAl: relaxed, PBE.

Values from the calculation:
final energy	-3.2060	eV/atom
energy above the lowest structure with this stoichiometry	0	meV per atom
magnetization	0.00	μB/cell
DOS(E_F)	0.415	states/eV per atom
calculated formation energy	-0.0819	eV per atom

Lattice parameters (Å, degrees): 4.8275 4.8275 5.2497 90.00 90.00 90.00
Sites, in units of the cell vectors:
1 Ca 0.0000 0.5000 0.0000
2 Ca 0.5000 0.0000 0.0000
3 Pm 0.0000 0.0000 0.5000
4 Al 0.5000 0.5000 0.5000

---

2.
CaPm2Al9: relaxed, PBE.

Values from the calculation:
final energy	-4.0963	eV/atom
magnetization	0.00	μB/cell
DOS(E_F)	0.399	states/eV per atom
calculated formation energy	-0.3308	eV per atom

Lattice parameters (Å, degrees): 9.3867 9.3867 9.3867 35.30 35.30 35.30
Sites, in units of the cell vectors:
1 Ca 0.0000 0.0000 0.0000
2 Pm 0.1418 0.1418 0.1418
3 Pm 0.8582 0.8582 0.8582
4 Al 0.0751 0.5875 0.5875
5 Al 0.3354 0.3354 0.3354
6 Al 0.4125 0.4125 0.9249
7 Al 0.4125 0.9249 0.4125
8 Al 0.5000 0.5000 0.5000
9 Al 0.5875 0.0751 0.5875
10 Al 0.5875 0.5875 0.0751
11 Al 0.6646 0.6646 0.6646
12 Al 0.9249 0.4125 0.4125

---

3.
Ca2PmAl9: relaxed, PBE.

Values from the calculation:
final energy	-3.8285	eV/atom
magnetization	0.00	μB/cell
DOS(E_F)	0.626	states/eV per atom
calculated formation energy	-0.2921	eV per atom

Lattice parameters (Å, degrees): 9.5170 9.5170 9.5170 34.35 34.35 34.35
Sites, in units of the cell vectors:
1 Ca 0.1419 0.1419 0.1419
2 Ca 0.8581 0.8581 0.8581
3 Pm 0.0000 0.0000 0.0000
4 Al 0.0772 0.5843 0.5843
5 Al 0.3351 0.3351 0.3351
6 Al 0.4157 0.4157 0.9228
7 Al 0.4157 0.9228 0.4157
8 Al 0.5000 0.5000 0.5000
9 Al 0.5843 0.0772 0.5843
10 Al 0.5843 0.5843 0.0772
11 Al 0.6649 0.6649 0.6649
12 Al 0.9228 0.4157 0.4157

---

4.
CaPmAl: relaxed, PBE.

Values from the calculation:
final energy	-3.5548	eV/atom
energy above the lowest structure with this stoichiometry	207	meV per atom
magnetization	0.00	μB/cell
DOS(E_F)	0.869	states/eV per atom
calculated formation energy	-0.0566	eV per atom

Lattice parameters (Å, degrees): 5.2439 5.2439 3.6031 90.00 90.00 120.00
Sites, in units of the cell vectors:
1 Ca 0.0000 0.0000 0.0000
2 Pm 0.3333 0.6667 0.5814
3 Al 0.6667 0.3333 0.2743

---

5.
CaPm7Al4: relaxed, PBE.

Values from the calculation:
final energy	-4.2453	eV/atom
magnetization	0.00	μB/cell
DOS(E_F)	1.119	states/eV per atom
calculated formation energy	-0.0598	eV per atom

Lattice parameters (Å, degrees): 7.5010 7.5010 10.9032 121.90 121.90 44.32
Sites, in units of the cell vectors:
1 Ca 0.0000 0.0000 0.0000
2 Pm 0.0646 0.0646 0.3816
3 Pm 0.2112 0.2112 0.8758
4 Pm 0.3098 0.3098 0.3707
5 Pm 0.5000 0.5000 0.0000
6 Pm 0.6902 0.6902 0.6293
7 Pm 0.7888 0.7888 0.1242
8 Pm 0.9354 0.9354 0.6184
9 Al 0.3229 0.3229 0.6712
10 Al 0.4458 0.4458 0.2323
11 Al 0.5542 0.5542 0.7677
12 Al 0.6771 0.6771 0.3288

---

6.
CaPmAl: relaxed, PBE.

Values from the calculation:
final energy	-3.7618	eV/atom
energy above the lowest structure with this stoichiometry	0	meV per atom
magnetization	0.00	μB/cell
DOS(E_F)	0.336	states/eV per atom
calculated formation energy	-0.2636	eV per atom

Lattice parameters (Å, degrees): 5.3834 5.3834 6.8010 90.00 90.00 120.00
Sites, in units of the cell vectors:
1 Ca 0.0000 0.0000 0.0000
2 Ca 0.0000 0.0000 0.5000
3 Pm 0.3333 0.6667 0.2500
4 Pm 0.6667 0.3333 0.7500
5 Al 0.3333 0.6667 0.7500
6 Al 0.6667 0.3333 0.2500

---

| no. | theoretical density (kg/m³) |
| --- | --- |
| 1 | 3422 |
| 2 | 3855 |
| 3 | 3175 |
| 4 | 4104 |
| 5 | 5487 |
| 6 | 4126 |